Ba2MgTa | GGA-PBEsol | optimized geometry

Values from the calculation:
The total magnetic moment is 0.44 μB per formula unit. As for the formation energy from the elements: 770 meV/atom.

a b c (Å): 7.056 7.056 7.056
angles (deg): 151.28 130.20 58.51
Positions (direct):
Ba: 0.000 0.000 0.000
Ba: 0.706 0.206 0.500
Mg: 0.273 0.773 0.500
Ta: 0.458 0.458 0.000